16
Lattice="4.385 -3.522 0.000 4.385 3.522 0.000 0.000 0.000 8.952" Properties=species:S:1:pos:R:3 comment="Zr3Ga5 (PBEsol, relaxed)" vol_a3_per_fu=138 mass_density_g_cm3=7.47 sg="Cmcm, No. 63" ef_kj_per_mol_fu=-517 total_magnetization_mub_per_cell=0.0 total_energy_ev_per_fu=-49.33 n_ef_per_ev_cell=6.3 pbc="T T T"
Zr 4.385 2.564 6.714
Zr 2.586 0.000 0.000
Zr 2.586 0.000 4.476
Zr 6.185 0.000 0.000
Zr 6.185 0.000 4.476
Zr 4.385 -2.564 2.238
Ga 2.550 2.028 2.238
Ga 4.385 2.223 0.446
Ga 4.385 2.223 4.030
Ga 6.221 2.028 2.238
Ga 4.385 0.120 2.238
Ga 4.385 -0.120 6.714
Ga 2.550 -2.028 6.714
Ga 4.385 -2.223 4.923
Ga 4.385 -2.223 8.506
Ga 6.221 -2.028 6.714